# SrSe3 (PBE, relaxed)
data_SrSe3
_cell_length_a 7.420
_cell_length_b 7.420
_cell_length_c 7.420
_cell_angle_alpha 90.00
_cell_angle_beta 90.00
_cell_angle_gamma 90.00
_space_group_name_H-M_alt 'F m -3 m'
_space_group_IT_number 225
_space_group_name_Hall '-F 4 2 3'
loop_
_atom_site_label
_atom_site_fract_x
_atom_site_fract_y
_atom_site_fract_z
Sr1 0.000 0.000 0.000
Se1 0.000 0.000 0.500
Se2 0.250 0.250 0.250
# **Energy relative to the elements, uncorrected**: -39.9 kJ/mol of atoms
# **E_tot**: -3.4476 eV per atom

=====

# Sr5Se (PBE, relaxed)
data_Sr5Se
_cell_length_a 4.227
_cell_length_b 20.749
_cell_length_c 6.874
_cell_angle_alpha 90.00
_cell_angle_beta 90.00
_cell_angle_gamma 90.00
_space_group_name_H-M_alt 'C m m m'
_space_group_IT_number 65
_space_group_name_Hall '-C 2 2'
loop_
_atom_site_label
_atom_site_fract_x
_atom_site_fract_y
_atom_site_fract_z
Sr1 0.000 0.000 0.000
Sr2 0.000 0.111 0.500
Sr3 0.000 0.331 0.000
Se1 0.000 0.500 0.500
# **Polymorph energy (0 for the lowest one)**: 180 meV per atom
# **Energy relative to the elements, uncorrected**: -36.7 kJ/mol of atoms
# **E_tot**: -2.3629 eV per atom

=====

# Sr2TaSe (PBE, relaxed)
data_Sr2TaSe
_cell_length_a 4.368
_cell_length_b 5.673
_cell_length_c 9.986
_cell_angle_alpha 90.00
_cell_angle_beta 90.00
_cell_angle_gamma 90.00
_space_group_name_H-M_alt 'I m m m'
_space_group_IT_number 71
_space_group_name_Hall '-I 2 2'
loop_
_atom_site_label
_atom_site_fract_x
_atom_site_fract_y
_atom_site_fract_z
Sr1 0.000 0.000 0.217
Ta1 0.000 0.500 0.000
Se1 0.000 0.500 0.500
# **Polymorph energy (0 for the lowest one)**: 475 meV per atom
# **Energy relative to the elements, uncorrected**: 40.2 kJ/mol of atoms
# **E_tot**: -4.2587 eV per atom